# 1
Density functional theory data (PBE-GGA) for a geometry-optimized PmDy2Pu structure.

Output
DFT formation energy = 0.106 eV/atom
mass density = 9.472 g/cm³

abc: 11.646 11.646 11.646
angles: 17.54 17.54 17.54
Atoms (fractional coordinates):
1 Pm 0.000 0.000 0.000
2 Dy 0.581 0.581 0.581
3 Dy 0.752 0.752 0.752
4 Pu 0.166 0.166 0.166



# 2
Density functional theory data (PBE-GGA) for a geometry-optimized DyEr15Tm4 structure.

Output
DFT formation energy = 0.024 eV/atom
mass density = 9.199 g/cm³

abc: 4.943 4.943 24.727
angles: 90.00 90.00 90.00
Atoms (fractional coordinates):
1 Dy 0.000 0.000 0.000
2 Er 0.000 0.500 0.100
3 Er 0.000 0.500 0.300
4 Er 0.000 0.500 0.500
5 Er 0.000 0.500 0.700
6 Er 0.000 0.500 0.900
7 Er 0.500 0.000 0.100
8 Er 0.500 0.000 0.300
9 Er 0.500 0.000 0.500
10 Er 0.500 0.000 0.700
11 Er 0.500 0.000 0.900
12 Er 0.500 0.500 0.000
13 Er 0.500 0.500 0.200
14 Er 0.500 0.500 0.400
15 Er 0.500 0.500 0.600
16 Er 0.500 0.500 0.800
17 Tm 0.000 0.000 0.200
18 Tm 0.000 0.000 0.400
19 Tm 0.000 0.000 0.600
20 Tm 0.000 0.000 0.800



# 3
Density functional theory data (PBE-GGA) for a geometry-optimized Cs2BiTe2 structure.

Output
mass density = 5.443 g/cm³
formation energy without anion corrections = -2.95 eV per formula unit

abc: 8.755 8.755 5.811
angles: 90.00 90.00 90.00
Atoms (fractional coordinates):
1 Cs 0.147 0.353 0.000
2 Cs 0.353 0.853 0.000
3 Cs 0.647 0.147 0.000
4 Cs 0.853 0.647 0.000
5 Bi 0.000 0.000 0.500
6 Bi 0.500 0.500 0.500
7 Te 0.171 0.671 0.500
8 Te 0.329 0.171 0.500
9 Te 0.671 0.829 0.500
10 Te 0.829 0.329 0.500